# BaInRe4 | the Alexandria database | PBE | optimized geometry
data_BaInRe4
_cell_length_a 5.499
_cell_length_b 5.499
_cell_length_c 5.499
_cell_angle_alpha 60.00
_cell_angle_beta 60.00
_cell_angle_gamma 60.00
_symmetry_space_group_name_H-M 'P 1'
_symmetry_Int_Tables_number 1
_symmetry_space_group_name_Hall 'P 1'
loop_
_atom_site_label
_atom_site_fract_x
_atom_site_fract_y
_atom_site_fract_z
Ba1 0.750 0.750 0.750
In1 0.000 0.000 0.000
Re1 0.877 0.374 0.374
Re2 0.374 0.374 0.877
Re3 0.374 0.877 0.374
Re4 0.374 0.374 0.374
# Calculated volume   117.6 Å³ per cell
# Density of states at the Fermi level   4.80 states/eV/cell
# DFT formation energy   0.81 eV/atom

***

# CeSm2Hg | the Alexandria database | PBE | optimized geometry
data_CeSm2Hg
_cell_length_a 4.743
_cell_length_b 4.925
_cell_length_c 4.925
_cell_angle_alpha 90.00
_cell_angle_beta 90.00
_cell_angle_gamma 90.00
_symmetry_space_group_name_H-M 'P 1'
_symmetry_Int_Tables_number 1
_symmetry_space_group_name_Hall 'P 1'
loop_
_atom_site_label
_atom_site_fract_x
_atom_site_fract_y
_atom_site_fract_z
Ce1 0.500 0.500 0.500
Hg1 0.500 0.000 0.000
Sm1 0.000 0.000 0.500
Sm2 0.000 0.500 0.000
# Calculated volume   115.1 Å³ per cell
# Density of states at the Fermi level   8.83 states/eV/cell
# DFT formation energy   -0.11 eV/atom

***

# NaYC | the Alexandria database | PBE | optimized geometry
data_NaYC
_cell_length_a 6.519
_cell_length_b 3.991
_cell_length_c 8.413
_cell_angle_alpha 90.00
_cell_angle_beta 90.00
_cell_angle_gamma 90.00
_symmetry_space_group_name_H-M 'P 1'
_symmetry_Int_Tables_number 1
_symmetry_space_group_name_Hall 'P 1'
loop_
_atom_site_label
_atom_site_fract_x
_atom_site_fract_y
_atom_site_fract_z
Y1 0.980 0.250 0.843
Y2 0.520 0.750 0.343
Y3 0.020 0.750 0.157
Y4 0.480 0.250 0.657
Na1 0.880 0.250 0.436
Na2 0.620 0.750 0.936
Na3 0.120 0.750 0.564
Na4 0.380 0.250 0.064
C1 0.316 0.250 0.401
C2 0.184 0.750 0.901
C3 0.684 0.750 0.599
C4 0.816 0.250 0.099
# Calculated volume   218.9 Å³ per cell
# Density of states at the Fermi level   0.00 states/eV/cell
# DFT formation energy   0.38 eV/atom